Material: BeInPb2
Method: DFT, PBE
State: optimized geometry

Its space group is C2/m. The calculation puts the formation energy at 357 meV/atom. The value obtained for the electronic total energy is -12.45 eV per cell. For the energy relative to the lowest polymorph listed for this composition, the calculation gives 0.07 eV/f.u. Its density of states at the Fermi level is 0.375 states/eV/atom.

Lattice parameters (Å, degrees): 4.014 4.014 8.467 98.70 98.70 50.59
Element x y z (fractional)
Be 0.000 0.000 0.000
In 0.500 0.500 0.500
Pb 0.269 0.269 0.813
Pb 0.731 0.731 0.187